VASP calculation (PBE-GGA) on an optimized crystal structure of Ba2Li12Mg3In.

```
data_Ba2Li12Mg3In
_chemical_formula_sum 'Ba6 Li36 Mg9 In3'
_symmetry_space_group_name_H-M 'R -3 m'
_symmetry_Int_Tables_number 166
_symmetry_space_group_name_Hall '-R 3 2"'
_cell_length_a 6.9924
_cell_length_b 6.9924
_cell_length_c 33.2608
_cell_angle_alpha 90.00
_cell_angle_beta 90.00
_cell_angle_gamma 120.00
loop_
_atom_site_label
_atom_site_type_symbol
_atom_site_fract_x
_atom_site_fract_y
_atom_site_fract_z
Ba1 Ba 0.0000 0.0000 0.1515
Li1 Li 0.0559 0.5280 0.0934
Li2 Li 0.0760 0.5380 0.6189
Mg1 Mg 0.0000 0.5000 0.0000
In1 In 0.0000 0.0000 0.5000
```

Results
**Calculated volume**: 26.08 A^3/atom
**Total DFT energy (no corrections)**: -99.12 eV per cell
**Crystal system**: trigonal